# 1
Computed, not measured: a crystal of MgSb2Te relaxed with PBEsol at the SCAN level of DFT.

Formation energy without anion corrections ... 0.048 eV/f.u.
Theoretical density ... 6.2 g cm⁻³
V ... 26.653 Å³ per atom
ΔE to the lowest computed polymorph ... 0 meV/atom
Density of states at the Fermi level ... 2.2 states/eV/f.u.

Cell: 3.0922 3.0923 11.2226 Å, 90.00 90.00 83.46°
Atoms (fractional coordinates):
1 Sb 0.0000 0.0000 0.7025
2 Sb 0.0000 0.0000 0.2975
3 Mg 0.5000 0.5000 0.5000
4 Te 0.5000 0.5000 0.0000

***

# 2
Computed, not measured: a crystal of CaCuMo2 relaxed with PBEsol at the SCAN level of DFT.

Theoretical density ... 7.5 g cm⁻³
V ... 16.285 Å³ per atom
ΔE to the lowest computed polymorph ... 0 meV/atom
Density of states at the Fermi level ... 2.6 states/eV/f.u.
Formation energy from the elements ... 0.57 eV per atom

Cell: 2.6832 2.6832 9.0478 Å, 90.00 90.00 90.00°
Atoms (fractional coordinates):
1 Ca 0.0000 0.0000 0.5180
2 Cu 0.5000 0.5000 0.7741
3 Mo 0.0000 0.0000 0.9786
4 Mo 0.5000 0.5000 0.2293

***

# 3
Computed, not measured: a crystal of ZrZnRu relaxed with PBEsol at the SCAN level of DFT.

Theoretical density ... 7.7 g cm⁻³
V ... 18.641 Å³ per atom
Density of states at the Fermi level ... 0.7 states/eV/f.u.
Formation energy from the elements ... -0.14 eV per atom

Cell: 4.2924 4.2924 4.2924 Å, 60.00 60.00 60.00°
Atoms (fractional coordinates):
1 Ru 0.7500 0.7500 0.7500
2 Zn 0.0000 0.0000 0.0000
3 Zr 0.5000 0.5000 0.5000

***

# 4
Computed, not measured: a crystal of CsLaZnTe3 relaxed with PBEsol at the SCAN level of DFT.

Formation energy without anion corrections ... -7.768 eV/f.u.
Theoretical density ... 5.3 g cm⁻³
V ... 37.467 Å³ per atom
Density of states at the Fermi level ... 0.0 states/eV/f.u.

Cell: 4.4886 8.6431 12.0007 Å, 90.00 90.00 105.05°
Atoms (fractional coordinates):
1 Cs 0.7444 0.4889 0.7500
2 Cs 0.2556 0.5111 0.2500
3 La 0.0000 0.0000 0.5000
4 La 0.0000 0.0000 0.0000
5 Zn 0.5373 0.0745 0.2500
6 Zn 0.4627 0.9255 0.7500
7 Te 0.9395 0.8791 0.2500
8 Te 0.3741 0.7481 0.9320
9 Te 0.3741 0.7481 0.5680
10 Te 0.0605 0.1209 0.7500
11 Te 0.6259 0.2519 0.4320
12 Te 0.6259 0.2519 0.0680

***

What is the density of states at the Fermi level in the first record?
2.2 states/eV/f.u.

***

What did the second record say?
Computed, not measured: a crystal of CaCuMo2 relaxed with PBEsol at the SCAN level of DFT.

Theoretical density ... 7.5 g cm⁻³
V ... 16.285 Å³ per atom
ΔE to the lowest computed polymorph ... 0 meV/atom
Density of states at the Fermi level ... 2.6 states/eV/f.u.
Formation energy from the elements ... 0.57 eV per atom

Cell: 2.6832 2.6832 9.0478 Å, 90.00 90.00 90.00°
Atoms (fractional coordinates):
1 Ca 0.0000 0.0000 0.5180
2 Cu 0.5000 0.5000 0.7741
3 Mo 0.0000 0.0000 0.9786
4 Mo 0.5000 0.5000 0.2293

***

Number 4 is which compound?
CsLaZnTe3